Record 1
## CaPm2Pr3 (GGA-PBE)

Data for crystalline CaPm2Pr3 at its relaxed geometry.

It has space group Immm (No. 71), with a = 3.492 Å, b = 6.302 Å, c = 19.902 Å, α = 90.00°, β = 90.00° and γ = 90.00°. The distinct sites, in fractional coordinates, are Ca at (0.000, 0.000, 0.000), Pm at (0.000, 0.000, 0.361), Pr at (0.000, 0.000, 0.186) and Pr at (0.000, 0.500, 0.000).

The relative energy among the computed polymorphs comes out at 253 meV/atom. As for the density: 5708 kg/m3. As for the calculated formation energy: 0.296 eV per atom.

Record 2
## CaPmPr2 (GGA-PBE)

Data for crystalline CaPmPr2 at its relaxed geometry.

It has space group R3m (No. 160, hexagonal axes), with a = 3.7173 Å, b = 3.7173 Å, c = 36.9389 Å, α = 90.00°, β = 90.00° and γ = 120.00°. The distinct sites, in fractional coordinates, are Ca at (0.0000, 0.0000, 0.0000), Pm at (0.0000, 0.0000, 0.8338), Pr at (0.0000, 0.0000, 0.2466) and Pr at (0.0000, 0.0000, 0.4207).

The relative energy among the computed polymorphs comes out at 2 meV/atom. As for the density: 5262 kg/m3. As for the calculated formation energy: 0.030 eV per atom.